1.
Compound: HfUMo
Source: the Open Quantum Materials Database
Functional: PBE-GGA
Structure: optimized geometry

Its crystal system is cubic. Its total DFT energy (no corrections) is -9.533 eV/atom. As for the formation energy: 3.50 eV per formula unit. For the relative energy among the computed polymorphs, the calculation gives 586 meV per atom. The calculation puts the size of the total moment at 4.27 μB per cell.

Lattice parameters (Å, degrees): 6.417 6.417 6.417 90.00 90.00 90.00
Space group F-43m (No. 216)
Asymmetric unit:
Hf (0.000, 0.000, 0.000) (multiplicity 4)
U (0.250, 0.250, 0.250) (multiplicity 4)
Mo (0.000, 0.000, 0.500) (multiplicity 4)

=====

2.
Compound: HfMo2W
Source: the Open Quantum Materials Database
Functional: PBE-GGA
Structure: optimized geometry

Its crystal system is cubic. Its total DFT energy (no corrections) is -11.142 eV/atom. As for the formation energy: 0.04 eV per formula unit. The calculation puts the size of the total moment at 0.01 μB per cell.

Lattice parameters (Å, degrees): 6.462 6.462 6.462 90.00 90.00 90.00
Space group F-43m (No. 216)
Asymmetric unit:
Hf (0.000, 0.000, 0.000) (multiplicity 4)
Mo (0.000, 0.000, 0.500) (multiplicity 4)
Mo (0.250, 0.250, 0.250) (multiplicity 4)
W (0.250, 0.250, 0.750) (multiplicity 4)